4
Lattice="2.677 -3.824 0.000 2.677 3.824 0.000 0.000 0.000 2.685" Properties=species:S:1:pos:R:3 comment="PBE CrTcRh2, relaxed" spacegroup=Cmmm magnetic_moment_mub_per_atom=0.2445 formation_energy_ev_per_atom=-0.06 total_energy_ev_per_atom=-8.730 polymorph_energy_kj_per_mol_fu=28.5 pbc="T T T"
Cr 0.000 0.000 0.000
Tc 2.677 0.000 0.000
Rh 1.339 1.912 1.343
Rh 1.339 -1.912 1.343



4
Lattice="2.669 0.000 0.000 0.000 2.669 0.000 0.000 0.000 7.390" Properties=species:S:1:pos:R:3 comment="PBE Cr2TcRh, relaxed" spacegroup=P4/mmm magnetic_moment_mub_per_atom=0.0042 formation_energy_ev_per_atom=0.10 total_energy_ev_per_atom=-9.143 pbc="T T T"
Cr 0.000 0.000 1.837
Cr 0.000 0.000 5.553
Tc 1.335 1.335 3.695
Rh 1.335 1.335 0.000



4
Lattice="4.392 -1.326 0.000 4.392 1.326 0.000 -0.795 0.000 4.513" Properties=species:S:1:pos:R:3 comment="PBE Cr2TcRh, relaxed" spacegroup=Cm magnetic_moment_mub_per_atom=0.0001 formation_energy_ev_per_atom=0.10 total_energy_ev_per_atom=-9.144 pbc="T T T"
Cr 0.000 0.000 0.000
Cr 6.351 0.000 1.126
Tc 1.529 0.000 3.424
Rh 3.932 0.000 2.183



4
Lattice="-1.892 1.892 3.670 1.892 -1.892 3.670 1.892 1.892 -3.670" Properties=species:S:1:pos:R:3 comment="PBE Cr2TcRh, relaxed" spacegroup=I4/mmm magnetic_moment_mub_per_atom=0.0008 formation_energy_ev_per_atom=0.09 total_energy_ev_per_atom=-9.154 pbc="T T T"
Cr 1.892 0.000 1.835
Cr 0.000 1.892 1.835
Tc 0.000 0.000 0.000
Rh 0.000 0.000 3.670



4
Lattice="1.351 0.780 8.723 -1.351 0.780 8.723 0.000 -1.560 8.723" Properties=species:S:1:pos:R:3 comment="PBE CrTcRh2, relaxed" spacegroup=R3m magnetic_moment_mub_per_atom=0.0000 formation_energy_ev_per_atom=0.03 total_energy_ev_per_atom=-8.642 polymorph_energy_kj_per_mol_fu=62.7 pbc="T T T"
Cr 0.000 0.000 0.000
Tc 0.000 0.000 6.510
Rh 0.000 0.000 13.078
Rh 0.000 0.000 19.439



4
Lattice="4.439 -1.343 0.000 4.439 1.343 0.000 -0.879 0.000 4.615" Properties=species:S:1:pos:R:3 comment="PBE CrTcRh2, relaxed" spacegroup=Cm magnetic_moment_mub_per_atom=0.1886 formation_energy_ev_per_atom=-0.03 total_energy_ev_per_atom=-8.702 polymorph_energy_kj_per_mol_fu=39.6 pbc="T T T"
Cr 0.000 0.000 0.000
Tc 6.369 0.000 1.256
Rh 1.578 0.000 3.628
Rh 3.974 0.000 2.325



4
Lattice="2.664 0.000 0.000 0.000 3.703 0.000 0.000 0.000 5.339" Properties=species:S:1:pos:R:3 comment="PBE Cr2TcRh, relaxed" spacegroup=Pmm2 magnetic_moment_mub_per_atom=0.0001 formation_energy_ev_per_atom=0.10 total_energy_ev_per_atom=-9.144 pbc="T T T"
Cr 0.000 0.000 0.000
Cr 1.332 1.852 1.235
Tc 1.332 1.852 4.096
Rh 0.000 0.000 2.562



4
Lattice="1.349 0.779 8.665 -1.349 0.779 8.665 0.000 -1.558 8.665" Properties=species:S:1:pos:R:3 comment="PBE CrTcRh2, relaxed" spacegroup=R3m magnetic_moment_mub_per_atom=0.0000 formation_energy_ev_per_atom=-0.02 total_energy_ev_per_atom=-8.692 polymorph_energy_kj_per_mol_fu=43.3 pbc="T T T"
Cr 0.000 0.000 0.000
Tc 0.000 0.000 21.716
Rh 0.000 0.000 10.792
Rh 0.000 0.000 15.249



4
Lattice="4.334 -1.324 0.000 4.334 1.324 0.000 -0.799 0.000 4.593" Properties=species:S:1:pos:R:3 comment="PBE Cr2TcRh, relaxed" spacegroup=C2/m magnetic_moment_mub_per_atom=0.0000 formation_energy_ev_per_atom=0.11 total_energy_ev_per_atom=-9.133 pbc="T T T"
Cr 1.941 0.000 1.134
Cr 5.928 0.000 3.459
Tc -0.400 0.000 2.296
Rh 4.334 0.000 0.000



4
Lattice="0.000 3.042 3.042 3.042 0.000 3.042 3.042 3.042 0.000" Properties=species:S:1:pos:R:3 comment="PBE CrTcRh2, relaxed" spacegroup=Fm-3m magnetic_moment_mub_per_atom=0.0000 formation_energy_ev_per_atom=0.40 total_energy_ev_per_atom=-8.269 polymorph_energy_kj_per_mol_fu=206.5 pbc="T T T"
Cr 0.000 0.000 0.000
Tc 3.042 3.042 3.042
Rh 1.521 1.521 1.521
Rh 4.563 4.563 4.563



4
Lattice="0.000 3.029 3.029 3.029 0.000 3.029 3.029 3.029 0.000" Properties=species:S:1:pos:R:3 comment="PBE CrTcRh2, relaxed" spacegroup=F-43m magnetic_moment_mub_per_atom=0.0005 formation_energy_ev_per_atom=0.23 total_energy_ev_per_atom=-8.445 polymorph_energy_kj_per_mol_fu=138.5 pbc="T T T"
Cr 0.000 0.000 0.000
Tc 1.514 1.514 1.514
Rh 3.029 3.029 3.029
Rh 4.543 4.543 4.543



4
Lattice="3.068 0.000 0.000 0.000 3.068 0.000 0.000 0.000 5.962" Properties=species:S:1:pos:R:3 comment="PBE CrTcRh2, relaxed" spacegroup=P4mm magnetic_moment_mub_per_atom=0.0000 formation_energy_ev_per_atom=0.15 total_energy_ev_per_atom=-8.526 polymorph_energy_kj_per_mol_fu=107.4 pbc="T T T"
Cr 0.000 0.000 0.000
Tc 1.534 1.534 4.825
Rh 0.000 0.000 3.218
Rh 1.534 1.534 1.496



4
Lattice="1.351 0.780 8.663 -1.351 0.780 8.663 0.000 -1.560 8.663" Properties=species:S:1:pos:R:3 comment="PBE CrTcRh2, relaxed" spacegroup=R-3m magnetic_moment_mub_per_atom=0.0002 formation_energy_ev_per_atom=0.01 total_energy_ev_per_atom=-8.660 polymorph_energy_kj_per_mol_fu=55.8 pbc="T T T"
Cr 0.000 0.000 0.000
Tc 0.000 0.000 12.994
Rh 0.000 0.000 6.574
Rh 0.000 0.000 19.414



11
Lattice="-1.993 3.271 6.005 1.993 -3.271 6.005 1.993 3.271 -6.005" Properties=species:S:1:pos:R:3 comment="PBE Cr2TcRh8, relaxed" spacegroup=Immm magnetic_moment_mub_per_atom=0.1913 formation_energy_ev_per_atom=0.02 total_energy_ev_per_atom=-8.018 pbc="T T T"
Cr 0.000 0.000 2.405
Cr 0.000 0.000 9.605
Tc 0.000 0.000 6.005
Rh 1.993 1.380 -1.832
Rh 0.000 1.333 0.000
Rh 1.993 0.000 4.151
Rh 1.993 1.380 1.832
Rh 0.000 1.891 4.173
Rh 0.000 3.271 1.854
Rh 0.000 5.209 0.000
Rh 0.000 1.891 7.837



8
Lattice="-1.884 1.884 7.528 1.884 -1.884 7.528 1.884 1.884 -7.528" Properties=species:S:1:pos:R:3 comment="PBE Cr3TcRh4, relaxed" spacegroup=I4/mmm magnetic_moment_mub_per_atom=0.0498 formation_energy_ev_per_atom=-0.07 total_energy_ev_per_atom=-8.646 pbc="T T T"
Cr 0.000 0.000 0.000
Cr 0.000 0.000 3.746
Cr 0.000 0.000 11.309
Tc 0.000 0.000 7.528
Rh 1.884 0.000 1.955
Rh 1.884 0.000 5.573
Rh 0.000 1.884 1.955
Rh 0.000 1.884 5.573



4
Lattice="2.682 0.000 0.000 0.000 3.823 0.000 0.000 0.000 5.348" Properties=species:S:1:pos:R:3 comment="PBE CrTcRh2, relaxed" spacegroup=Pmmm magnetic_moment_mub_per_atom=0.2465 formation_energy_ev_per_atom=-0.06 total_energy_ev_per_atom=-8.733 polymorph_energy_kj_per_mol_fu=27.6 pbc="T T T"
Cr 0.000 0.000 0.000
Tc 0.000 0.000 2.674
Rh 1.341 1.911 1.316
Rh 1.341 1.911 4.032



10
Lattice="7.200 0.000 0.000 0.000 7.200 0.000 0.000 0.000 2.643" Properties=species:S:1:pos:R:3 comment="PBE Cr2TcRh2, relaxed" spacegroup=P4/mbm magnetic_moment_mub_per_atom=0.0003 formation_energy_ev_per_atom=0.16 total_energy_ev_per_atom=-8.699 polymorph_energy_kj_per_mol_fu=25.4 pbc="T T T"
Cr 1.226 2.374 0.000
Cr 2.374 5.975 0.000
Cr 4.826 1.226 0.000
Cr 5.975 4.826 0.000
Tc 0.000 0.000 1.321
Tc 3.600 3.600 1.321
Rh 0.923 4.523 1.321
Rh 2.677 0.923 1.321
Rh 4.523 6.277 1.321
Rh 6.277 2.677 1.321



4
Lattice="1.352 0.781 8.375 -1.352 0.781 8.375 0.000 -1.562 8.375" Properties=species:S:1:pos:R:3 comment="PBE Cr2TcRh, relaxed" spacegroup=R3m magnetic_moment_mub_per_atom=0.2683 formation_energy_ev_per_atom=0.17 total_energy_ev_per_atom=-9.072 pbc="T T T"
Cr 0.000 0.000 0.000
Cr 0.000 0.000 6.464
Tc 0.000 0.000 18.817
Rh 0.000 0.000 12.774



4
Lattice="2.656 0.000 0.000 0.000 4.015 0.000 -1.287 0.000 4.912" Properties=species:S:1:pos:R:3 comment="PBE Cr2TcRh, relaxed" spacegroup=Pm magnetic_moment_mub_per_atom=0.0001 formation_energy_ev_per_atom=0.06 total_energy_ev_per_atom=-9.177 pbc="T T T"
Cr 0.000 0.000 0.000
Cr -0.143 2.008 1.229
Tc -0.007 2.008 3.836
Rh 1.270 0.000 2.287



5
Lattice="4.356 0.000 0.000 0.000 4.356 0.000 0.000 0.000 4.356" Properties=species:S:1:pos:R:3 comment="PBE CrTc3Rh, relaxed" spacegroup=Pm-3m magnetic_moment_mub_per_atom=0.0000 formation_energy_ev_per_atom=1.21 total_energy_ev_per_atom=-8.408 polymorph_energy_kj_per_mol_fu=0.0 pbc="T T T"
Cr 0.000 0.000 0.000
Tc 0.000 0.000 2.178
Tc 0.000 2.178 0.000
Tc 2.178 0.000 0.000
Rh 2.178 2.178 2.178